1.
An optimized crystal structure of VHgRh2S. Source: Alexandria via LeMat-Bulk, functional PBE-GGA.

Output
space-group type	P4/mmm, No. 123
E	-27.96	eV per formula unit

Cell: 4.435 4.285 4.435 Å, 90.00 90.00 90.00°
Sites, in units of the cell vectors:
Rh: 0.000 0.000 0.500
Rh: 0.500 0.000 0.000
V: 0.000 0.500 0.000
Hg: 0.500 0.500 0.500
S: 0.000 0.000 0.000


2.
An optimized crystal structure of HgRh2WS. Source: Alexandria via LeMat-Bulk, functional PBE-GGA.

Output
space-group type	P4/mmm, No. 123
E	-26.46	eV per formula unit

Cell: 4.361 4.933 4.361 Å, 90.00 90.00 90.00°
Last column: magnetic moment on the atom in μB.
Sites, in units of the cell vectors:
S: 0.000 0.000 0.000  0.07
Hg: 0.000 0.500 0.000  0.02
Rh: 0.000 0.000 0.500  0.21
W: 0.500 0.500 0.500  2.38
Rh: 0.500 0.000 0.000  0.30


3.
An optimized crystal structure of HgSb2Rh. Source: Alexandria via LeMat-Bulk, functional PBE-GGA.

Output
space-group type	P4/mmm, No. 123
E	-14.94	eV per formula unit

Cell: 4.792 4.792 3.798 Å, 90.00 90.00 90.00°
Sites, in units of the cell vectors:
Hg: 0.500 0.500 0.500
Sb: 0.500 0.000 0.000
Sb: 0.000 0.500 0.000
Rh: 0.000 0.000 0.500


4.
An optimized crystal structure of HgSb2Rh. Source: Alexandria via LeMat-Bulk, functional PBE-GGA.

Output
space-group type	Immm, No. 71
E	-16.18	eV per formula unit

Cell: 6.756 6.756 6.756 Å, 152.59 138.75 50.24°
Sites, in units of the cell vectors:
Sb: 0.819 0.819 0.000
Rh: 0.000 0.500 0.500
Hg: 0.500 0.000 0.500
Sb: 0.181 0.181 0.000


5.
An optimized crystal structure of HgSb2Rh. Source: Alexandria via LeMat-Bulk, functional PBE-GGA.

Output
space-group type	I-42d, No. 122
E	-15.54	eV per formula unit

Cell: 6.289 6.289 7.601 Å, 65.56 65.56 90.00°
Sites, in units of the cell vectors:
Sb: 0.375 0.428 0.750
Rh: 0.250 0.750 0.500
Rh: 0.500 0.500 0.000
Sb: 0.178 0.625 0.250
Sb: 0.572 0.125 0.250
Sb: 0.875 0.822 0.750
Hg: 0.750 0.250 0.500
Hg: 0.000 0.000 0.000


6.
An optimized crystal structure of HgSb3Rh. Source: Alexandria via LeMat-Bulk, functional PBE-GGA.

Output
polymorph energy (0 for the lowest one)	0.00	eV per formula unit
space-group type	Pm-3m, No. 221
E	-18.60	eV per formula unit

Cell: 5.208 5.208 5.208 Å, 90.00 90.00 90.00°
Sites, in units of the cell vectors:
Sb: 0.000 0.000 0.500
Sb: 0.500 0.000 0.000
Hg: 0.500 0.500 0.500
Sb: 0.000 0.500 0.000
Rh: 0.000 0.000 0.000


7.
An optimized crystal structure of HgSb2Rh. Source: Alexandria via LeMat-Bulk, functional PBE-GGA.

Output
space-group type	F-43m, No. 216
E	-14.62	eV per formula unit

Cell: 5.003 5.003 5.003 Å, 60.00 60.00 60.00°
Sites, in units of the cell vectors:
Sb: 0.000 0.000 0.000
Sb: 0.750 0.750 0.750
Hg: 0.500 0.500 0.500
Rh: 0.250 0.250 0.250


8.
An optimized crystal structure of HgSb2Rh. Source: Alexandria via LeMat-Bulk, functional PBE-GGA.

Output
space-group type	P4/mmm, No. 123
E	-16.55	eV per formula unit

Cell: 3.276 3.276 9.010 Å, 90.00 90.00 90.00°
Sites, in units of the cell vectors:
Rh: 0.500 0.500 0.500
Hg: 0.500 0.500 0.000
Sb: 0.000 0.000 0.321
Sb: 0.000 0.000 0.679